No. 1
A plane-wave DFT calculation with GGA-PBE was carried out for a relaxed structure of KPbCl2.

Calculated values
Its energy relative to the elements, uncorrected is -1.18 eV/atom. The raw total energy comes out at -0.122 Ha/atom. Its space group is R-3m. The density of states at the Fermi level is 0.85 states/eV/cell.

abc: 9.7514 9.7514 9.7514
angles: 24.24 24.24 24.24
Fractional positions:
Cl  0.9021  0.9021  0.9021
Cl  0.0979  0.0979  0.0979
K  0.5000  0.5000  0.5000
Pb  0.0000  0.0000  0.0000


No. 2
A plane-wave DFT calculation with GGA-PBE was carried out for a relaxed structure of LaPmSmGa.

Calculated values
The value obtained for the formation energy is -0.33 eV/f.u. The raw total energy comes out at -0.163 Ha/atom. Its space group is F-43m. The density of states at the Fermi level is 6.32 states/eV/cell.

abc: 5.4968 5.4968 5.4968
angles: 60.00 60.00 60.00
Fractional positions:
Pm  0.5000  0.5000  0.5000
Sm  0.7500  0.7500  0.7500
Ga  0.0000  0.0000  0.0000
La  0.2500  0.2500  0.2500


No. 3
A plane-wave DFT calculation with GGA-PBE was carried out for a relaxed structure of SrSn3Cl8.

Calculated values
Its energy relative to the elements, uncorrected is -1.34 eV/atom. The raw total energy comes out at -0.137 Ha/atom. Its space group is C2/m. The density of states at the Fermi level is 0.00 states/eV/cell.

abc: 8.7164 8.7131 7.9548
angles: 123.29 90.00 120.01
Fractional positions:
Sr  0.0000  0.0000  0.0000
Sn  0.5000  0.0000  0.0000
Sn  0.5000  0.5000  0.0000
Sn  0.0000  0.5000  0.0000
Cl  0.7411  0.9874  0.2328
Cl  0.7538  0.5075  0.7671
Cl  0.2462  0.4925  0.2329
Cl  0.2589  0.0126  0.7672
Cl  0.2538  0.5075  0.7621
Cl  0.7537  0.0126  0.7672
Cl  0.7462  0.4925  0.2379
Cl  0.2463  0.9874  0.2328


No. 4
A plane-wave DFT calculation with GGA-PBE was carried out for a relaxed structure of Ti2Nb6Os.

Calculated values
The value obtained for the formation energy is 5.84 eV/f.u. The raw total energy comes out at -0.333 Ha/atom. Its space group is C2/m. The density of states at the Fermi level is 10.65 states/eV/cell.

abc: 4.4290 6.1408 7.6447
angles: 113.68 107.06 90.00
Fractional positions:
Nb  0.5000  0.7489  0.0000
Nb  0.5000  0.2511  0.0000
Nb  0.8327  0.0849  0.6682
Nb  0.8327  0.5833  0.6682
Nb  0.1673  0.9151  0.3318
Nb  0.1673  0.4167  0.3318
Os  0.0000  0.0000  0.0000
Ti  0.6663  0.6656  0.3312
Ti  0.3337  0.3344  0.6688


No. 5
A plane-wave DFT calculation with GGA-PBE was carried out for a relaxed structure of Mn2AgCl6.

Calculated values
Its energy relative to the elements, uncorrected is -0.88 eV/atom. The raw total energy comes out at -0.164 Ha/atom. Its space group is P-31m. The density of states at the Fermi level is 7.34 states/eV/cell.

abc: 5.9865 6.3240 6.3240
angles: 120.00 90.00 90.00
Fractional positions:
Cl  0.7310  0.6443  0.6443
Cl  0.2690  0.3557  0.3557
Cl  0.2690  0.6443  0.0000
Cl  0.7310  0.0000  0.3557
Cl  0.7310  0.3557  0.0000
Cl  0.2690  0.0000  0.6443
Ag  0.0000  0.0000  0.0000
Mn  0.5000  0.3333  0.6667
Mn  0.5000  0.6667  0.3333


No. 6
A plane-wave DFT calculation with GGA-PBE was carried out for a relaxed structure of AcSmYMg.

Calculated values
The value obtained for the formation energy is 0.49 eV/f.u. The raw total energy comes out at -0.151 Ha/atom. Its space group is F-43m. The density of states at the Fermi level is 6.74 states/eV/cell.

abc: 5.7390 5.7390 5.7390
angles: 60.00 60.00 60.00
Fractional positions:
Sm  0.2500  0.2500  0.2500
Y  0.7500  0.7500  0.7500
Ac  0.5000  0.5000  0.5000
Mg  0.0000  0.0000  0.0000